Record 1
A plane-wave DFT calculation with PBE was carried out for Y2TiRu2 after structural relaxation.

* ΔH_f (0 K): 347 meV/atom
* total DFT energy (no corrections): -7.528 eV per atom
* ρ: 6.23 Mg/m³
* spin magnetization: 0.0000 μB/atom
* relative energy among the computed polymorphs: 3.17 eV/f.u.
* space group: I4/mmm

Unit cell a=9.7373 b=9.7373 c=9.7373 alpha=159.41 beta=159.41 gamma=29.28
Closest atoms and distances in Å follow each position.
Element x y z (fractional)
Y1 0.1149 0.1149 0.0000  4 Ru 3.08, 4 Ti 3.28
Y2 0.8851 0.8851 0.0000  4 Ru 3.08, 4 Ti 3.28
Ti1 0.5000 0.5000 0.0000  8 Y 3.28, 4 Ti 3.48
Ru1 0.2500 0.7500 0.5000  4 Ru 2.46
Ru2 0.7500 0.2500 0.5000  4 Ru 2.46

Record 2
A plane-wave DFT calculation with PBE was carried out for YTiRu2 after structural relaxation.

* ΔH_f (0 K): 354 meV/atom
* total DFT energy (no corrections): -7.874 eV per atom
* ρ: 6.42 Mg/m³
* spin magnetization: 0.0001 μB/atom
* space group: I-42d

Unit cell a=8.8437 b=8.8437 c=8.8437 alpha=149.73 beta=149.73 gamma=43.33
Closest atoms and distances in Å follow each position.
Element x y z (fractional)
Y1 0.0000 0.0000 0.0000  4 Ru 2.95, 4 Ti 3.26
Y2 0.7500 0.2500 0.5000  4 Ru 2.95, 4 Ti 3.26
Ti1 0.2500 0.7500 0.5000  4 Ru 2.41
Ti2 0.5000 0.5000 0.0000  4 Ru 2.41
Ru1 0.2609 0.6250 0.1359  2 Ti 2.41, 2 Ru 2.54
Ru2 0.3750 0.5109 0.6359  2 Ti 2.41, 2 Ru 2.54
Ru3 0.4891 0.1250 0.8641  2 Ti 2.41, 2 Ru 2.54
Ru4 0.8750 0.7391 0.3641  2 Ti 2.41, 2 Ru 2.54

Record 3
A plane-wave DFT calculation with PBE was carried out for Y3TiRu after structural relaxation.

* ΔH_f (0 K): 1064 meV/atom
* total DFT energy (no corrections): -6.249 eV per atom
* ρ: 5.01 Mg/m³
* spin magnetization: 0.3681 μB/atom
* relative energy among the computed polymorphs: 4.01 eV/f.u.
* space group: Pm-3m

Unit cell a=5.1638 b=5.1638 c=5.1638 alpha=90.00 beta=90.00 gamma=90.00
Closest atoms and distances in Å follow each position.
Element x y z (fractional)
Y1 0.0000 0.0000 0.5000  2 Ti 2.58
Y2 0.0000 0.5000 0.0000  2 Ti 2.58
Y3 0.5000 0.0000 0.0000  2 Ti 2.58
Ti1 0.0000 0.0000 0.0000  6 Y 2.58
Ru1 0.5000 0.5000 0.5000  12 Y 3.65

Record 4
A plane-wave DFT calculation with PBE was carried out for Y3TiRu after structural relaxation.

* ΔH_f (0 K): 261 meV/atom
* total DFT energy (no corrections): -7.051 eV per atom
* ρ: 4.61 Mg/m³
* spin magnetization: 0.5191 μB/atom
* relative energy among the computed polymorphs: 0.00 eV/f.u.
* space group: Pm-3m

Unit cell a=5.3111 b=5.3111 c=5.3111 alpha=90.00 beta=90.00 gamma=90.00
Closest atoms and distances in Å follow each position.
Element x y z (fractional)
Y1 0.0000 0.0000 0.5000  2 Ru 2.66
Y2 0.0000 0.5000 0.0000  2 Ru 2.66
Y3 0.5000 0.0000 0.0000  2 Ru 2.66
Ti1 0.5000 0.5000 0.5000  12 Y 3.76
Ru1 0.0000 0.0000 0.0000  6 Y 2.66

Record 5
A plane-wave DFT calculation with PBE was carried out for YTiRu2 after structural relaxation.

* ΔH_f (0 K): -472 meV/atom
* total DFT energy (no corrections): -8.700 eV per atom
* ρ: 8.21 Mg/m³
* spin magnetization: 0.0000 μB/atom
* space group: P4/mmm

Unit cell a=3.2074 b=3.2074 c=6.6633 alpha=90.00 beta=90.00 gamma=90.00
Closest atoms and distances in Å follow each position.
Element x y z (fractional)
Y1 0.0000 0.0000 0.0000  8 Ru 2.94, 4 Y 3.21
Ti1 0.0000 0.0000 0.5000  8 Ru 2.69
Ru1 0.5000 0.5000 0.2817  4 Ti 2.69, 1 Ru 2.91, 4 Y 2.94
Ru2 0.5000 0.5000 0.7183  4 Ti 2.69, 1 Ru 2.91, 4 Y 2.94

Record 6
A plane-wave DFT calculation with PBE was carried out for Y2TiRu2 after structural relaxation.

* ΔH_f (0 K): 230 meV/atom
* total DFT energy (no corrections): -7.645 eV per atom
* ρ: 7.00 Mg/m³
* spin magnetization: 0.0000 μB/atom
* relative energy among the computed polymorphs: 2.58 eV/f.u.
* space group: P4/mbm

Unit cell a=8.0206 b=8.0206 c=3.1545 alpha=90.00 beta=90.00 gamma=90.00
Closest atoms and distances in Å follow each position.
Element x y z (fractional)
Y1 0.1375 0.3625 0.0000  6 Ru 2.70-2.94
Y2 0.3625 0.8625 0.0000  6 Ru 2.70-2.94
Y3 0.6375 0.1375 0.0000  6 Ru 2.70-2.94
Y4 0.8625 0.6375 0.0000  6 Ru 2.70-2.94
Ti1 0.0000 0.0000 0.0000  4 Y 3.11, 2 Ti 3.15, 8 Ru 3.37
Ti2 0.5000 0.5000 0.0000  4 Y 3.11, 2 Ti 3.15, 8 Ru 3.37
Ru1 0.1698 0.6698 0.5000  6 Y 2.70-2.94
Ru2 0.3302 0.1698 0.5000  6 Y 2.70-2.94
Ru3 0.6698 0.8302 0.5000  6 Y 2.70-2.94
Ru4 0.8302 0.3302 0.5000  6 Y 2.70-2.94

Question: Which of these has the lowest ΔH_f (0 K)?
Answer: number 5